[1]
Below is an optimized crystal structure of MgCu5Au6, with properties calculated at the GGA-PBE level.

Values from the calculation:
As for the space-group type: Immm, No. 71. Its formation energy is -0.14 eV per atom.

Cell lengths 7.479, 7.479, 7.479 Å; angles 147.59, 122.86, 67.24 degrees
Fractional coordinates of all 12 atoms:
Mg: 0.000 0.000 0.000
Cu: 0.164 0.664 0.500
Cu: 0.329 0.329 0.000
Cu: 0.500 0.000 0.500
Cu: 0.671 0.671 0.000
Cu: 0.836 0.336 0.500
Au: 0.087 0.832 0.255
Au: 0.260 0.500 0.760
Au: 0.424 0.168 0.255
Au: 0.576 0.832 0.745
Au: 0.740 0.500 0.240
Au: 0.913 0.168 0.745

[2]
Below is an optimized crystal structure of MgCu2Au6, with properties calculated at the GGA-PBE level.

Values from the calculation:
As for the space-group type: C2/c, No. 15. Its formation energy is -0.15 eV per atom. Its polymorph energy (0 for the lowest one) is 0.15 eV/f.u.

Cell lengths 8.082, 8.082, 4.941 Å; angles 96.87, 96.87, 73.38 degrees
Fractional coordinates of all 18 atoms:
Mg: 0.124 0.876 0.750
Mg: 0.876 0.124 0.250
Cu: 0.209 0.460 0.904
Cu: 0.460 0.209 0.404
Cu: 0.540 0.791 0.596
Cu: 0.791 0.540 0.096
Au: 0.014 0.756 0.195
Au: 0.104 0.353 0.345
Au: 0.244 0.986 0.305
Au: 0.322 0.570 0.477
Au: 0.353 0.104 0.845
Au: 0.430 0.678 0.023
Au: 0.570 0.322 0.977
Au: 0.647 0.896 0.155
Au: 0.678 0.430 0.523
Au: 0.756 0.014 0.695
Au: 0.896 0.647 0.655
Au: 0.986 0.244 0.805

[3]
Below is an optimized crystal structure of MgCuAu3, with properties calculated at the GGA-PBE level.

Values from the calculation:
As for the space-group type: P-1, No. 2. Its formation energy is -0.29 eV per atom. Its polymorph energy (0 for the lowest one) is 0.00 eV/f.u.

Cell lengths 4.787, 4.799, 7.883 Å; angles 72.37, 86.04, 76.55 degrees
Fractional coordinates of all 10 atoms:
Mg: 0.250 0.153 0.195
Mg: 0.750 0.847 0.805
Cu: 0.250 0.352 0.796
Cu: 0.750 0.648 0.204
Au: 0.249 0.749 0.002
Au: 0.250 0.942 0.615
Au: 0.251 0.556 0.389
Au: 0.749 0.444 0.611
Au: 0.750 0.058 0.385
Au: 0.751 0.251 0.998